Below is a relaxed structure of PuNb4, with properties calculated at the GGA-PBE level.

Calculated values
Its symmetry is Pm-3m (221). Its density of states at the Fermi level is 8.5 states/eV/cell. The size of the total moment comes out at 0.00 Bohr magnetons per cell. For the energy of formation from the pure elements, the calculation gives 120 kJ/mol of atoms.

a b c (Å): 4.777 4.777 4.777
angles (deg): 90.00 90.00 90.00
Fractional coordinates of all 5 atoms:
Pu  0.000  0.000  0.000
Nb  0.000  0.000  0.500
Nb  0.000  0.500  0.000
Nb  0.500  0.000  0.000
Nb  0.500  0.500  0.500